Material: ScSbSI2
Method: DFT, PBE
State: relaxed

abc: 5.4646 5.4646 5.2687
angles: 90.00 90.00 90.00
With the nearest neighbours (Å) after each atom.
Element x y z (fractional)
Sc (0.0000, 0.0000, 0.0000)  8 I 3.80, 4 Sb 3.86
Sb (0.5000, 0.5000, 0.0000)  2 S 2.63
S (0.5000, 0.5000, 0.5000)  2 Sb 2.63, 4 I 2.73
I (0.0000, 0.5000, 0.5000)  2 S 2.73
I (0.5000, 0.0000, 0.5000)  2 S 2.73

Properties
Its energy above the most stable polymorph in this dataset is 279.6 meV/atom. The value obtained for the formation energy from raw total energies is 1.75 eV per formula unit. The density of states at the Fermi level comes out at 3.0 states/eV per cell. As for the space group: No. 123.



Material: Sb4Se3SI4
Method: DFT, PBE
State: relaxed

abc: 9.0473 4.1611 11.3132
angles: 90.00 90.21 90.00
With the nearest neighbours (Å) after each atom.
Element x y z (fractional)
Sb (0.0000, 0.0000, 0.0000)  3 Se 2.65-2.84
Sb (0.1934, 0.5000, 0.2588)  3 Se 2.64-2.84
Sb (0.5011, 0.0000, 0.7528)  1 S 2.50
Sb (0.6952, 0.5000, 0.5049)  1 Se 2.64, 2 S 2.73
Se (0.2659, 0.0000, 0.0985)  3 Sb 2.65-2.84
Se (0.4258, 0.5000, 0.5934)  3 Sb 2.64-2.83
Se (0.9282, 0.5000, 0.1608)  3 Sb 2.64-2.84
S (0.7490, 0.0000, 0.6551)  3 Sb 2.50-2.73
I (0.0564, 0.0000, 0.4376)  2 Sb 3.16
I (0.1354, 0.5000, 0.8218)  2 Sb 3.15
I (0.5677, 0.0000, 0.3228)  2 Sb 3.14
I (0.6410, 0.5000, 0.9301)  2 Sb 3.15

Properties
The value obtained for the formation energy from raw total energies is -3.74 eV per formula unit. As for the space group: No. 6.



Material: SiSbS2I
Method: DFT, PBE
State: relaxed

abc: 5.0039 5.0039 5.5159
angles: 90.00 90.00 90.00
With the nearest neighbours (Å) after each atom.
Element x y z (fractional)
Si (0.0000, 0.0000, 0.0000)  2 I 2.76
Sb (0.5000, 0.5000, 0.0000)  4 Si 3.54, 8 S 3.72
S (0.0000, 0.5000, 0.5000)  2 I 2.50
S (0.5000, 0.0000, 0.5000)  2 I 2.50
I (0.0000, 0.0000, 0.5000)  4 S 2.50, 2 Si 2.76

Properties
The value obtained for the formation energy from raw total energies is 5.68 eV per formula unit. The density of states at the Fermi level comes out at 5.2 states/eV per cell. As for the space group: No. 123.



Number 1: magnetic moment 0.16 μB per cell. Number 2: magnetic moment 0.00 μB per cell. Number 3: magnetic moment 0.00 μB per cell.